# 1
! YAl3Ni2 | Alexandria via LeMat-Bulk | PBE | optimized geometry; values from VASP
&SYSTEM
  ibrav = 0, nat = 18, ntyp = 3
/
ATOMIC_SPECIES
Y 88.91 Y.upf
Al 26.98 Al.upf
Ni 58.69 Ni.upf
CELL_PARAMETERS angstrom
9.043 0.000 0.000
-4.522 7.832 0.000
0.000 0.000 4.066
ATOMIC_POSITIONS crystal
Y 0.000 0.000 0.000
Y 0.333 0.667 0.500
Y 0.667 0.333 0.500
Al 0.000 0.296 0.500
Al 0.000 0.500 0.000
Al 0.000 0.704 0.500
Al 0.296 0.000 0.500
Al 0.296 0.296 0.500
Al 0.500 0.000 0.000
Al 0.500 0.500 0.000
Al 0.704 0.000 0.500
Al 0.704 0.704 0.500
Ni 0.182 0.364 0.000
Ni 0.182 0.818 0.000
Ni 0.364 0.182 0.000
Ni 0.636 0.818 0.000
Ni 0.818 0.182 0.000
Ni 0.818 0.636 0.000
! Symmetry: P6/mmm (191)
! Formation energy from the elements: -4.0 eV/f.u.
! Raw total energy: -99.64 eV/cell
! D(E_F): 2.522 states/eV/f.u.

---

# 2
! Y3Al9Ni2 | Alexandria via LeMat-Bulk | PBE | optimized geometry; values from VASP
&SYSTEM
  ibrav = 0, nat = 14, ntyp = 3
/
ATOMIC_SPECIES
Y 88.91 Y.upf
Al 26.98 Al.upf
Ni 58.69 Ni.upf
CELL_PARAMETERS angstrom
-2.113 4.967 6.074
2.113 -4.967 6.074
2.113 4.967 -6.074
ATOMIC_POSITIONS crystal
Y 0.000 0.000 0.000
Y 0.312 0.312 0.000
Y 0.688 0.688 0.000
Al 0.023 0.657 0.366
Al 0.160 0.879 0.282
Al 0.291 0.657 0.634
Al 0.403 0.121 0.282
Al 0.500 0.000 0.500
Al 0.597 0.879 0.718
Al 0.709 0.343 0.366
Al 0.840 0.121 0.718
Al 0.977 0.343 0.634
Ni 0.291 0.500 0.791
Ni 0.709 0.500 0.209
! Symmetry: Immm (71)
! Formation energy from the elements: -7.4 eV/f.u.
! Raw total energy: -71.99 eV/cell
! D(E_F): 5.784 states/eV/f.u.

---

# 3
! YAl12Ni4 | Alexandria via LeMat-Bulk | PBE | optimized geometry; values from VASP
&SYSTEM
  ibrav = 0, nat = 17, ntyp = 3
/
ATOMIC_SPECIES
Y 88.91 Y.upf
Al 26.98 Al.upf
Ni 58.69 Ni.upf
CELL_PARAMETERS angstrom
-4.315 4.315 4.315
4.315 -4.315 4.315
4.315 4.315 -4.315
ATOMIC_POSITIONS crystal
Y 0.000 0.000 0.000
Al 0.124 0.797 0.327
Al 0.203 0.327 0.530
Al 0.203 0.673 0.876
Al 0.327 0.124 0.797
Al 0.327 0.530 0.203
Al 0.470 0.797 0.673
Al 0.530 0.203 0.327
Al 0.673 0.470 0.797
Al 0.673 0.876 0.203
Al 0.797 0.327 0.124
Al 0.797 0.673 0.470
Al 0.876 0.203 0.673
Ni 0.000 0.000 0.500
Ni 0.000 0.500 0.000
Ni 0.500 0.000 0.000
Ni 0.500 0.500 0.500
! Symmetry: Im-3 (204)
! Formation energy from the elements: -1.8 eV/f.u.
! Raw total energy: -76.27 eV/cell
! D(E_F): 10.723 states/eV/f.u.

---

# 4
! Y12AlNi5 | Alexandria via LeMat-Bulk | PBE | optimized geometry; values from VASP
&SYSTEM
  ibrav = 0, nat = 18, ntyp = 3
/
ATOMIC_SPECIES
Y 88.91 Y.upf
Al 26.98 Al.upf
Ni 58.69 Ni.upf
CELL_PARAMETERS angstrom
-4.689 4.789 4.950
4.689 -4.789 4.950
4.689 4.789 -4.950
ATOMIC_POSITIONS crystal
Y 0.026 0.216 0.810
Y 0.183 0.294 0.477
Y 0.183 0.706 0.889
Y 0.324 0.021 0.697
Y 0.324 0.627 0.303
Y 0.406 0.216 0.190
Y 0.594 0.784 0.810
Y 0.676 0.373 0.697
Y 0.676 0.979 0.303
Y 0.817 0.294 0.111
Y 0.817 0.706 0.523
Y 0.974 0.784 0.190
Al 0.500 0.500 0.000
Ni 0.000 0.000 0.000
Ni 0.123 0.623 0.500
Ni 0.364 0.000 0.364
Ni 0.636 0.000 0.636
Ni 0.877 0.377 0.500
! Symmetry: Immm (71)
! Formation energy from the elements: -5.6 eV/f.u.
! Raw total energy: -115.83 eV/cell
! D(E_F): 17.822 states/eV/f.u.

---

# 5
! Y3Al2Ni7 | Alexandria via LeMat-Bulk | PBE | optimized geometry; values from VASP
&SYSTEM
  ibrav = 0, nat = 12, ntyp = 3
/
ATOMIC_SPECIES
Y 88.91 Y.upf
Al 26.98 Al.upf
Ni 58.69 Ni.upf
CELL_PARAMETERS angstrom
2.585 1.492 7.923
-2.585 1.492 7.923
0.000 -2.985 7.923
ATOMIC_POSITIONS crystal
Y 0.000 0.000 0.000
Y 0.140 0.140 0.140
Y 0.860 0.860 0.860
Al 0.332 0.332 0.332
Al 0.668 0.668 0.668
Ni 0.085 0.580 0.580
Ni 0.420 0.420 0.915
Ni 0.420 0.915 0.420
Ni 0.500 0.500 0.500
Ni 0.580 0.085 0.580
Ni 0.580 0.580 0.085
Ni 0.915 0.420 0.420
! Symmetry: R-3m (166)
! Formation energy from the elements: -6.2 eV/f.u.
! Raw total energy: -73.55 eV/cell
! D(E_F): 8.640 states/eV/f.u.

---

# 6
! Y2Al2ZnNi5 | Alexandria via LeMat-Bulk | PBE | optimized geometry; values from VASP
&SYSTEM
  ibrav = 0, nat = 20, ntyp = 4
/
ATOMIC_SPECIES
Y 88.91 Y.upf
Al 26.98 Al.upf
Zn 65.41 Zn.upf
Ni 58.69 Ni.upf
CELL_PARAMETERS angstrom
9.883 0.000 0.000
0.000 9.883 0.000
0.000 0.000 3.160
ATOMIC_POSITIONS crystal
Y 0.175 0.325 0.000
Y 0.325 0.825 0.000
Y 0.675 0.175 0.000
Y 0.825 0.675 0.000
Al 0.125 0.625 0.000
Al 0.375 0.125 0.000
Al 0.625 0.875 0.000
Al 0.875 0.375 0.000
Zn 0.000 0.000 0.000
Zn 0.500 0.500 0.000
Ni 0.000 0.500 0.500
Ni 0.053 0.802 0.500
Ni 0.198 0.053 0.500
Ni 0.302 0.553 0.500
Ni 0.447 0.302 0.500
Ni 0.500 0.000 0.500
Ni 0.553 0.698 0.500
Ni 0.698 0.447 0.500
Ni 0.802 0.947 0.500
Ni 0.947 0.198 0.500
! Symmetry: P4/mbm (127)
! Formation energy from the elements: -3.2 eV/f.u.
! Raw total energy: -107.51 eV/cell
! D(E_F): 7.054 states/eV/f.u.

---

# 7
! YAl3ZnNi | Alexandria via LeMat-Bulk | PBE | optimized geometry; values from VASP
&SYSTEM
  ibrav = 0, nat = 12, ntyp = 4
/
ATOMIC_SPECIES
Y 88.91 Y.upf
Al 26.98 Al.upf
Zn 65.41 Zn.upf
Ni 58.69 Ni.upf
CELL_PARAMETERS angstrom
2.987 -6.199 0.000
2.987 6.199 0.000
0.000 0.000 5.762
ATOMIC_POSITIONS crystal
Y 0.214 0.786 0.750
Y 0.786 0.214 0.250
Al 0.216 0.216 0.000
Al 0.216 0.216 0.500
Al 0.366 0.634 0.250
Al 0.634 0.366 0.750
Al 0.784 0.784 0.000
Al 0.784 0.784 0.500
Zn 0.155 0.845 0.250
Zn 0.845 0.155 0.750
Ni 0.426 0.574 0.750
Ni 0.574 0.426 0.250
! Symmetry: Cmcm (63)
! Formation energy from the elements: -1.7 eV/f.u.
! Raw total energy: -52.92 eV/cell
! D(E_F): 2.500 states/eV/f.u.

---

# 8
! YAl2ZnNi4 | Alexandria via LeMat-Bulk | PBE | optimized geometry; values from VASP
&SYSTEM
  ibrav = 0, nat = 8, ntyp = 4
/
ATOMIC_SPECIES
Y 88.91 Y.upf
Al 26.98 Al.upf
Zn 65.41 Zn.upf
Ni 58.69 Ni.upf
CELL_PARAMETERS angstrom
2.032 1.173 8.157
-2.032 1.173 8.157
0.000 -2.346 8.157
ATOMIC_POSITIONS crystal
Y 0.000 0.000 0.000
Al 0.238 0.238 0.238
Al 0.762 0.762 0.762
Zn 0.500 0.500 0.500
Ni 0.130 0.130 0.130
Ni 0.404 0.404 0.404
Ni 0.596 0.596 0.596
Ni 0.870 0.870 0.870
! Symmetry: R-3m (166)
! Formation energy from the elements: -3.7 eV/f.u.
! Raw total energy: -42.06 eV/cell
! D(E_F): 4.744 states/eV/f.u.

---

# 9
! YAlZnNi | Alexandria via LeMat-Bulk | PBE | optimized geometry; values from VASP
&SYSTEM
  ibrav = 0, nat = 4, ntyp = 4
/
ATOMIC_SPECIES
Y 88.91 Y.upf
Al 26.98 Al.upf
Zn 65.41 Zn.upf
Ni 58.69 Ni.upf
CELL_PARAMETERS angstrom
0.000 3.240 3.240
3.240 0.000 3.240
3.240 3.240 0.000
ATOMIC_POSITIONS crystal
Y 0.000 0.000 0.000
Al 0.500 0.500 0.500
Zn 0.750 0.750 0.750
Ni 0.250 0.250 0.250
! Symmetry: F-43m (216)
! Formation energy from the elements: -1.6 eV/f.u.
! Raw total energy: -18.86 eV/cell
! D(E_F): 2.082 states/eV/f.u.